(1)
The following is a DFT calculation (PBE) of a relaxed CaBe2Pb crystal.

Calculated volume = 77.7 Å³ per cell
Energy of formation = 341 meV per atom
Theoretical density = 5.67 Mg/m³
Uncorrected energy = -11.797 eV for the cell shown

Cell: 3.2437 3.2437 7.3972 Å, 90.00 90.00 93.40°
Atoms (fractional coordinates):
Be 0.0000 0.0000 0.0711
Be 0.5000 0.5000 0.1714
Pb 0.5000 0.5000 0.8030
Ca 0.0000 0.0000 0.4544

(2)
The following is a DFT calculation (PBE) of a relaxed Ca2BePb crystal.

Calculated volume = 105.3 Å³ per cell
Energy of formation = -49 meV per atom
Theoretical density = 4.67 Mg/m³
Uncorrected energy = -11.635 eV for the cell shown

Cell: 5.3012 5.3012 5.3012 Å, 60.00 60.00 60.00°
Atoms (fractional coordinates):
Ca 0.7500 0.7500 0.7500
Pb 0.5000 0.5000 0.5000
Be 0.0000 0.0000 0.0000
Ca 0.2500 0.2500 0.2500

(3)
The following is a DFT calculation (PBE) of a relaxed CaBe2Pb crystal.

Calculated volume = 80.9 Å³ per cell
Energy of formation = 82 meV per atom
Theoretical density = 5.44 Mg/m³
Uncorrected energy = -12.834 eV for the cell shown

Cell: 3.9452 3.9452 6.4209 Å, 72.16 72.16 59.98°
Atoms (fractional coordinates):
Ca 0.4786 0.4786 0.5627
Be 0.7009 0.7009 0.8964
Be 0.0350 0.0350 0.8968
Pb 0.2855 0.2855 0.1441

(4)
The following is a DFT calculation (PBE) of a relaxed CaBe2Pb crystal.

Calculated volume = 82.5 Å³ per cell
Energy of formation = 354 meV per atom
Theoretical density = 5.34 Mg/m³
Uncorrected energy = -11.747 eV for the cell shown

Cell: 4.2067 4.2067 5.9182 Å, 69.45 69.45 59.45°
Atoms (fractional coordinates):
Pb 0.2500 0.2500 0.2500
Ca 0.7500 0.7500 0.7500
Be 0.9648 0.9648 0.1123
Be 0.5352 0.5352 0.3877

(5)
The following is a DFT calculation (PBE) of a relaxed CaBePb2 crystal.

Calculated volume = 100.7 Å³ per cell
Energy of formation = 158 meV per atom
Theoretical density = 7.64 Mg/m³
Uncorrected energy = -12.511 eV for the cell shown

Cell: 3.7173 3.7173 7.2894 Å, 90.00 90.00 90.00°
Atoms (fractional coordinates):
Ca 0.5000 0.5000 0.7500
Pb 0.0000 0.0000 0.4575
Be 0.5000 0.5000 0.2500
Pb 0.0000 0.0000 0.0425

(6)
The following is a DFT calculation (PBE) of a relaxed CaBe3Pb crystal.

Calculated volume = 132.6 Å³ per cell
Energy of formation = 1740 meV per atom
Theoretical density = 3.44 Mg/m³
Uncorrected energy = -8.186 eV for the cell shown

Cell: 5.0994 5.0994 5.0994 Å, 90.00 90.00 90.00°
Atoms (fractional coordinates):
Be 0.0000 0.5000 0.0000
Be 0.0000 0.0000 0.5000
Be 0.5000 0.0000 0.0000
Ca 0.0000 0.0000 0.0000
Pb 0.5000 0.5000 0.5000

(7)
The following is a DFT calculation (PBE) of a relaxed Ca2BePb crystal.

Calculated volume = 115.5 Å³ per cell
Energy of formation = 155 meV per atom
Theoretical density = 4.26 Mg/m³
Uncorrected energy = -10.816 eV for the cell shown

Cell: 9.6311 9.6311 9.6311 Å, 22.58 22.58 22.58°
Atoms (fractional coordinates):
Be 0.7500 0.7500 0.7500
Ca 0.0117 0.0117 0.0117
Ca 0.4883 0.4883 0.4883
Pb 0.2500 0.2500 0.2500

(8)
The following is a DFT calculation (PBE) of a relaxed CaBePb2 crystal.

Calculated volume = 105.1 Å³ per cell
Energy of formation = 97 meV per atom
Theoretical density = 7.33 Mg/m³
Uncorrected energy = -12.757 eV for the cell shown

Cell: 4.6962 4.6962 6.0562 Å, 76.00 76.00 54.84°
Atoms (fractional coordinates):
Ca 0.2500 0.2500 0.2500
Pb 0.4912 0.4912 0.5676
Pb 0.0088 0.0088 0.9324
Be 0.7500 0.7500 0.7500

(9)
The following is a DFT calculation (PBE) of a relaxed CaBePb2 crystal.

Calculated volume = 105.0 Å³ per cell
Energy of formation = 167 meV per atom
Theoretical density = 7.33 Mg/m³
Uncorrected energy = -12.477 eV for the cell shown

Cell: 9.0516 9.0516 9.0516 Å, 23.67 23.67 23.67°
Atoms (fractional coordinates):
Be 0.2500 0.2500 0.2500
Pb 0.5173 0.5173 0.5173
Pb 0.9827 0.9827 0.9827
Ca 0.7500 0.7500 0.7500

(10)
The following is a DFT calculation (PBE) of a relaxed CaBePb2 crystal.

Calculated volume = 108.3 Å³ per cell
Energy of formation = 287 meV per atom
Theoretical density = 7.11 Mg/m³
Uncorrected energy = -11.997 eV for the cell shown

Cell: 6.2302 6.2302 3.5732 Å, 74.96 74.96 116.27°
Atoms (fractional coordinates):
Pb 0.0000 0.0000 0.0000
Be 0.5000 0.0000 0.5000
Pb 0.5000 0.5000 0.0000
Ca 0.0000 0.5000 0.5000

(11)
The following is a DFT calculation (PBE) of a relaxed CaBePb2 crystal.

Calculated volume = 108.3 Å³ per cell
Energy of formation = 101 meV per atom
Theoretical density = 7.11 Mg/m³
Uncorrected energy = -12.742 eV for the cell shown

Cell: 4.3958 5.1758 4.9058 Å, 75.99 90.00 90.00°
Atoms (fractional coordinates):
Ca 0.5000 0.8176 0.6409
Be 0.0000 0.2576 0.5309
Pb 0.0000 0.0031 0.0917
Pb 0.5000 0.4218 0.2365

(12)
The following is a DFT calculation (PBE) of a relaxed CaBePb2 crystal.

Calculated volume = 109.1 Å³ per cell
Energy of formation = 93 meV per atom
Theoretical density = 7.05 Mg/m³
Uncorrected energy = -12.772 eV for the cell shown

Cell: 5.2456 5.2456 6.4720 Å, 140.04 106.07 73.31°
Atoms (fractional coordinates):
Pb 0.9364 0.9364 0.0000
Pb 0.5636 0.5636 0.0000
Be 0.7500 0.2500 0.5000
Ca 0.2500 0.7500 0.5000

(13)
The following is a DFT calculation (PBE) of a relaxed Ca2BePb crystal.

Calculated volume = 104.2 Å³ per cell
Energy of formation = -66 meV per atom
Theoretical density = 4.72 Mg/m³
Uncorrected energy = -11.703 eV for the cell shown

Cell: 3.6569 3.6794 8.5770 Å, 64.55 90.00 90.00°
Atoms (fractional coordinates):
Be 0.5000 0.7500 0.7500
Ca 0.0000 0.0290 0.9710
Ca 0.0000 0.4710 0.5290
Pb 0.5000 0.2500 0.2500

(14)
The following is a DFT calculation (PBE) of a relaxed CaBePb2 crystal.

Calculated volume = 238.2 Å³ per cell
Energy of formation = 196 meV per atom
Theoretical density = 6.46 Mg/m³
Uncorrected energy = -24.717 eV for the cell shown

Cell: 5.2507 5.2507 9.4042 Å, 73.79 73.79 90.00°
Atoms (fractional coordinates):
Be 0.2500 0.7500 0.5000
Be 0.5000 0.5000 0.0000
Pb 0.2145 0.6250 0.2500
Ca 0.0000 0.0000 0.0000
Pb 0.3750 0.4645 0.7500
Pb 0.5355 0.1250 0.2500
Ca 0.7500 0.2500 0.5000
Pb 0.8750 0.7855 0.7500

(15)
The following is a DFT calculation (PBE) of a relaxed Ca2BePb4 crystal.

Calculated volume = 216.8 Å³ per cell
Energy of formation = -8 meV per atom
Theoretical density = 7.03 Mg/m³
Uncorrected energy = -22.616 eV for the cell shown

Cell: 5.1719 5.1719 8.8921 Å, 73.09 73.09 90.00°
Atoms (fractional coordinates):
Pb 0.8427 0.8427 0.3147
Be 0.0000 0.0000 0.0000
Pb 0.5000 0.0000 0.0000
Ca 0.6462 0.6462 0.7076
Ca 0.3538 0.3538 0.2924
Pb 0.0000 0.5000 0.0000
Pb 0.1573 0.1573 0.6853

(16)
The following is a DFT calculation (PBE) of a relaxed CaBePb2 crystal.

Calculated volume = 103.4 Å³ per cell
Energy of formation = 194 meV per atom
Theoretical density = 7.44 Mg/m³
Uncorrected energy = -12.370 eV for the cell shown

Cell: 5.7151 5.7151 5.7151 Å, 131.21 131.21 71.47°
Atoms (fractional coordinates):
Pb 0.0000 0.0000 0.0000
Ca 0.7500 0.2500 0.5000
Be 0.2500 0.7500 0.5000
Pb 0.5000 0.5000 0.0000

(17)
The following is a DFT calculation (PBE) of a relaxed CaBe2Pb crystal.

Calculated volume = 80.8 Å³ per cell
Energy of formation = 166 meV per atom
Theoretical density = 5.45 Mg/m³
Uncorrected energy = -12.498 eV for the cell shown

Cell: 3.9450 4.0260 5.4815 Å, 68.07 90.00 90.00°
Atoms (fractional coordinates):
Be 0.5000 0.0982 0.1774
Ca 0.0000 0.4685 0.4347
Pb 0.5000 0.7630 0.8506
Be 0.0000 0.1703 0.0373

(18)
The following is a DFT calculation (PBE) of a relaxed Ca4BePb crystal.

Calculated volume = 207.3 Å³ per cell
Energy of formation = 576 meV per atom
Theoretical density = 3.02 Mg/m³
Uncorrected energy = -11.986 eV for the cell shown

Cell: 6.6436 6.6436 6.6436 Å, 60.00 60.00 60.00°
Atoms (fractional coordinates):
Be 0.0000 0.0000 0.0000
Ca 0.3753 0.3753 0.3753
Ca 0.3753 0.3753 0.8741
Pb 0.7500 0.7500 0.7500
Ca 0.3753 0.8741 0.3753
Ca 0.8741 0.3753 0.3753

(19)
The following is a DFT calculation (PBE) of a relaxed CaBe2Pb crystal.

Calculated volume = 79.5 Å³ per cell
Energy of formation = 527 meV per atom
Theoretical density = 5.54 Mg/m³
Uncorrected energy = -11.055 eV for the cell shown

Cell: 5.1775 5.1775 5.1775 Å, 130.00 130.00 73.40°
Atoms (fractional coordinates):
Be 0.0000 0.0000 0.0000
Pb 0.7500 0.2500 0.5000
Ca 0.5000 0.5000 0.0000
Be 0.2500 0.7500 0.5000

(20)
The following is a DFT calculation (PBE) of a relaxed CaBe2Pb crystal.

Calculated volume = 183.0 Å³ per cell
Energy of formation = 367 meV per atom
Theoretical density = 4.81 Mg/m³
Uncorrected energy = -23.391 eV for the cell shown

Cell: 4.6308 4.6308 9.1414 Å, 75.33 75.33 90.00°
Atoms (fractional coordinates):
Pb 0.7500 0.2500 0.5000
Ca 0.5000 0.5000 0.0000
Pb 0.0000 0.0000 0.0000
Be 0.8750 0.1253 0.7500
Be 0.8747 0.6250 0.2500
Be 0.8753 0.1250 0.2500
Ca 0.2500 0.7500 0.5000
Be 0.3750 0.1247 0.7500

(21)
The following is a DFT calculation (PBE) of a relaxed CaBePb2 crystal.

Calculated volume = 110.2 Å³ per cell
Energy of formation = 253 meV per atom
Theoretical density = 6.98 Mg/m³
Uncorrected energy = -12.133 eV for the cell shown

Cell: 9.2581 9.2581 9.2581 Å, 23.43 23.43 23.43°
Atoms (fractional coordinates):
Ca 0.7658 0.7658 0.7658
Pb 0.2316 0.2316 0.2316
Pb 0.9963 0.9963 0.9963
Be 0.5063 0.5063 0.5063

(22)
The following is a DFT calculation (PBE) of a relaxed CaBePb2 crystal.

Calculated volume = 105.4 Å³ per cell
Energy of formation = 193 meV per atom
Theoretical density = 7.30 Mg/m³
Uncorrected energy = -12.371 eV for the cell shown

Cell: 3.8427 3.8427 7.1396 Å, 90.00 90.00 90.00°
Atoms (fractional coordinates):
Ca 0.5000 0.5000 0.7334
Be 0.0000 0.0000 0.4378
Pb 0.0000 0.0000 0.0312
Pb 0.5000 0.5000 0.2976

(23)
The following is a DFT calculation (PBE) of a relaxed CaBePb2 crystal.

Calculated volume = 100.8 Å³ per cell
Energy of formation = 130 meV per atom
Theoretical density = 7.63 Mg/m³
Uncorrected energy = -12.623 eV for the cell shown

Cell: 4.7338 4.7473 4.4870 Å, 90.00 90.00 90.00°
Atoms (fractional coordinates):
Be 0.5000 0.0000 0.5000
Ca 0.0000 0.5000 0.5000
Pb 0.5000 0.5000 0.0000
Pb 0.0000 0.0000 0.0000

(24)
The following is a DFT calculation (PBE) of a relaxed CaBe2Pb crystal.

Calculated volume = 86.7 Å³ per cell
Energy of formation = 304 meV per atom
Theoretical density = 5.08 Mg/m³
Uncorrected energy = -11.945 eV for the cell shown

Cell: 4.2358 4.0697 5.0307 Å, 90.00 90.00 90.00°
Atoms (fractional coordinates):
Pb 0.5000 0.7500 0.7500
Ca 0.5000 0.2500 0.2500
Be 0.0000 0.7500 0.0308
Be 0.0000 0.7500 0.4692

(25)
The following is a DFT calculation (PBE) of a relaxed CaBe3Pb crystal.

Calculated volume = 111.5 Å³ per cell
Energy of formation = 1030 meV per atom
Theoretical density = 4.09 Mg/m³
Uncorrected energy = -11.737 eV for the cell shown

Cell: 4.8125 4.8125 4.8125 Å, 90.00 90.00 90.00°
Atoms (fractional coordinates):
Be 0.0000 0.5000 0.0000
Ca 0.5000 0.5000 0.5000
Pb 0.0000 0.0000 0.0000
Be 0.0000 0.0000 0.5000
Be 0.5000 0.0000 0.0000

(26)
The following is a DFT calculation (PBE) of a relaxed CaBePdPb2 crystal.

Calculated volume = 117.9 Å³ per cell
Energy of formation = -60 meV per atom
Theoretical density = 8.03 Mg/m³
Uncorrected energy = -18.635 eV for the cell shown

Cell: 5.1213 4.4937 5.1213 Å, 90.00 90.00 90.00°
Atoms (fractional coordinates):
Pb 0.5000 0.0000 0.0000
Pb 0.0000 0.0000 0.5000
Ca 0.5000 0.5000 0.5000
Be 0.0000 0.0000 0.0000
Pd 0.0000 0.5000 0.0000

(27)
The following is a DFT calculation (PBE) of a relaxed RbCaBePb2 crystal.

Calculated volume = 171.8 Å³ per cell
Energy of formation = 307 meV per atom
Theoretical density = 5.31 Mg/m³
Uncorrected energy = -12.579 eV for the cell shown

Cell: 5.3753 5.3753 5.9444 Å, 90.00 90.00 90.00°
Atoms (fractional coordinates):
Rb 0.0000 0.0000 0.5000
Be 0.0000 0.0000 0.0000
Ca 0.5000 0.5000 0.5000
Pb 0.5000 0.0000 0.0000
Pb 0.0000 0.5000 0.0000

(28)
The following is a DFT calculation (PBE) of a relaxed CaBeSbPb2 crystal.

Calculated volume = 138.2 Å³ per cell
Theoretical density = 7.03 Mg/m³
Uncorrected energy = -16.878 eV for the cell shown

Cell: 5.1488 5.2138 5.1488 Å, 90.00 90.00 90.00°
Atoms (fractional coordinates):
Be 0.0000 0.0000 0.0000
Ca 0.5000 0.5000 0.5000
Sb 0.0000 0.5000 0.0000
Pb 0.5000 0.0000 0.0000
Pb 0.0000 0.0000 0.5000

(29)
The following is a DFT calculation (PBE) of a relaxed CaBe2SnPb crystal.

Calculated volume = 156.6 Å³ per cell
Energy of formation = 1403 meV per atom
Theoretical density = 4.07 Mg/m³
Uncorrected energy = -10.149 eV for the cell shown

Cell: 5.1837 5.8293 5.1837 Å, 90.00 90.00 90.00°
Atoms (fractional coordinates):
Be 0.5000 0.0000 0.0000
Sn 0.5000 0.5000 0.5000
Be 0.0000 0.0000 0.5000
Ca 0.0000 0.0000 0.0000
Pb 0.0000 0.5000 0.0000

(30)
The following is a DFT calculation (PBE) of a relaxed SrCaBePb2 crystal.

Calculated volume = 218.9 Å³ per cell
Energy of formation = 992 meV per atom
Theoretical density = 4.18 Mg/m³
Uncorrected energy = -9.866 eV for the cell shown

Cell: 5.8027 6.5022 5.8027 Å, 90.00 90.00 90.00°
Atoms (fractional coordinates):
Pb 0.0000 0.0000 0.5000
Sr 0.0000 0.5000 0.0000
Be 0.5000 0.5000 0.5000
Pb 0.5000 0.0000 0.0000
Ca 0.0000 0.0000 0.0000